[1]
Below is SrSn2Ir after structural relaxation, with properties calculated at the GGA-PBEsol level.

Calculated values
The density of states at the Fermi level comes out at 2.332 states/eV per cell. The total moment comes out at 0.00 μB/cell. The value obtained for the formation enthalpy at 0 K is -0.145 eV/atom. As for the total energy: -0.38147 Ry/atom.

Cell: 4.9492 4.9492 4.9492 Å, 60.00 60.00 60.00°
Last column: nearest neighbours and their distance in Å.
Positions (direct):
Sr (0.0000, 0.0000, 0.0000)  8 Sn 3.03
Sn (0.2500, 0.2500, 0.2500)  4 Ir 3.03, 4 Sr 3.03
Sn (0.7500, 0.7500, 0.7500)  4 Ir 3.03, 4 Sr 3.03
Ir (0.5000, 0.5000, 0.5000)  8 Sn 3.03

***

[2]
Below is Ta2SnIr2 after structural relaxation, with properties calculated at the GGA-PBEsol level.

Calculated values
The density of states at the Fermi level comes out at 1.870 states/eV per cell. The total moment comes out at 0.00 μB/cell. The value obtained for the formation enthalpy at 0 K is -0.174 eV/atom. As for the total energy: -0.73320 Ry/atom.

Cell: 6.0738 6.0738 6.0738 Å, 138.26 138.26 60.50°
Last column: nearest neighbours and their distance in Å.
Positions (direct):
Ta (0.2500, 0.7500, 0.5000)  4 Ir 2.55
Ta (0.7500, 0.2500, 0.5000)  4 Ir 2.55
Sn (0.0000, 0.0000, 0.0000)  8 Ir 3.32, 8 Ta 3.40
Ir (0.3781, 0.3781, 0.0000)  4 Ta 2.55, 1 Ir 2.56
Ir (0.6219, 0.6219, 0.0000)  4 Ta 2.55, 1 Ir 2.56

***

Look up the formation enthalpy at 0 K of the first one. -0.145 eV/atom

***

Copy entry 1 word for word.
Below is SrSn2Ir after structural relaxation, with properties calculated at the GGA-PBEsol level.

Calculated values
The density of states at the Fermi level comes out at 2.332 states/eV per cell. The total moment comes out at 0.00 μB/cell. The value obtained for the formation enthalpy at 0 K is -0.145 eV/atom. As for the total energy: -0.38147 Ry/atom.

Cell: 4.9492 4.9492 4.9492 Å, 60.00 60.00 60.00°
Last column: nearest neighbours and their distance in Å.
Positions (direct):
Sr (0.0000, 0.0000, 0.0000)  8 Sn 3.03
Sn (0.2500, 0.2500, 0.2500)  4 Ir 3.03, 4 Sr 3.03
Sn (0.7500, 0.7500, 0.7500)  4 Ir 3.03, 4 Sr 3.03
Ir (0.5000, 0.5000, 0.5000)  8 Sn 3.03